Entry 1:
DFT (PBE-GGA) results for a relaxed structure of CaSCl2.

Summary:
Volume ... 269.8 Å³/cell
Mass density ... 1.761 g/cm3
Density of states at the Fermi level ... 1.01 states/eV/cell
Crystal system ... tetragonal
Final energy ... -0.1246 Ha/atom

Cell: 7.503 7.503 7.503 Å, 97.86 97.86 136.58°
Atoms (fractional coordinates):
Ca 0.000 0.000 0.000
Ca 0.750 0.250 0.500
S 0.250 0.750 0.500
S 0.500 0.500 0.000
Cl 0.375 0.206 0.331
Cl 0.794 0.125 0.169
Cl 0.875 0.044 0.669
Cl 0.956 0.625 0.831



Entry 2:
DFT (PBE-GGA) results for a relaxed structure of CaSCl3.

Summary:
Volume ... 155.3 Å³/cell
Mass density ... 1.909 g/cm3
Density of states at the Fermi level ... 0.45 states/eV/cell
Crystal system ... cubic
Final energy ... -0.1146 Ha/atom

Cell: 5.375 5.375 5.375 Å, 90.00 90.00 90.00°
Atoms (fractional coordinates):
Ca 0.000 0.000 0.000
S 0.500 0.500 0.500
Cl 0.000 0.000 0.500
Cl 0.000 0.500 0.000
Cl 0.500 0.000 0.000



Entry 3:
DFT (PBE-GGA) results for a relaxed structure of Ca4SCl6.

Summary:
Volume ... 585.9 Å³/cell
Mass density ... 2.296 g/cm3
Density of states at the Fermi level ... 0.00 states/eV/cell
Crystal system ... tetragonal
Final energy ... -0.1622 Ha/atom

Cell: 9.358 9.358 6.690 Å, 90.00 90.00 90.00°
Atoms (fractional coordinates):
Ca 0.007 0.250 0.060
Ca 0.250 0.007 0.560
Ca 0.250 0.493 0.560
Ca 0.493 0.250 0.060
Ca 0.507 0.750 0.940
Ca 0.750 0.507 0.440
Ca 0.750 0.993 0.440
Ca 0.993 0.750 0.940
S 0.250 0.750 0.750
S 0.750 0.250 0.250
Cl 0.040 0.540 0.250
Cl 0.040 0.960 0.250
Cl 0.250 0.250 0.323
Cl 0.250 0.250 0.823
Cl 0.460 0.540 0.250
Cl 0.460 0.960 0.250
Cl 0.540 0.040 0.750
Cl 0.540 0.460 0.750
Cl 0.750 0.750 0.177
Cl 0.750 0.750 0.677
Cl 0.960 0.040 0.750
Cl 0.960 0.460 0.750



Entry 4:
DFT (PBE-GGA) results for a relaxed structure of CaSbSCl2.

Summary:
Volume ... 133.8 Å³/cell
Mass density ... 3.285 g/cm3
Density of states at the Fermi level ... 2.31 states/eV/cell
Crystal system ... tetragonal
Final energy ... -0.1163 Ha/atom

Cell: 4.966 4.966 5.427 Å, 90.00 90.00 90.00°
Atoms (fractional coordinates):
Ca 0.000 0.000 0.000
Sb 0.500 0.500 0.000
S 0.500 0.500 0.500
Cl 0.000 0.500 0.500
Cl 0.500 0.000 0.500



Entry 5:
DFT (PBE-GGA) results for a relaxed structure of CaSbSCl2.

Summary:
Volume ... 151.6 Å³/cell
Mass density ... 2.900 g/cm3
Density of states at the Fermi level ... 1.64 states/eV/cell
Crystal system ... tetragonal
Final energy ... -0.1270 Ha/atom

Cell: 5.321 5.321 5.356 Å, 90.00 90.00 90.00°
Atoms (fractional coordinates):
Ca 0.000 0.000 0.000
Sb 0.500 0.500 0.500
S 0.500 0.500 0.000
Cl 0.000 0.500 0.500
Cl 0.500 0.000 0.500



Entry 6:
DFT (PBE-GGA) results for a relaxed structure of CaSbSCl2.

Summary:
Volume ... 145.6 Å³/cell
Mass density ... 3.020 g/cm3
Density of states at the Fermi level ... 2.35 states/eV/cell
Crystal system ... tetragonal
Final energy ... -0.1295 Ha/atom

Cell: 5.067 5.067 5.671 Å, 90.00 90.00 90.00°
Atoms (fractional coordinates):
Ca 0.000 0.000 0.000
Sb 0.500 0.500 0.500
S 0.000 0.000 0.500
Cl 0.000 0.500 0.000
Cl 0.500 0.000 0.000



Entry 7:
DFT (PBE-GGA) results for a relaxed structure of CaSe2SCl.

Summary:
Volume ... 156.8 Å³/cell
Mass density ... 2.812 g/cm3
Density of states at the Fermi level ... 6.67 states/eV/cell
Crystal system ... tetragonal
Final energy ... -0.1052 Ha/atom

Cell: 5.607 5.607 4.986 Å, 90.00 90.00 90.00°
Atoms (fractional coordinates):
Ca 0.000 0.000 0.000
Se 0.000 0.500 0.000
Se 0.500 0.000 0.000
S 0.500 0.500 0.500
Cl 0.000 0.000 0.500



Entry 8:
DFT (PBE-GGA) results for a relaxed structure of CaSiS2Cl.

Summary:
Volume ... 139.4 Å³/cell
Mass density ... 1.998 g/cm3
Density of states at the Fermi level ... 5.69 states/eV/cell
Crystal system ... tetragonal
Final energy ... -0.1284 Ha/atom

Cell: 5.243 5.243 5.073 Å, 90.00 90.00 90.00°
Atoms (fractional coordinates):
Ca 0.000 0.000 0.000
Si 0.500 0.500 0.500
S 0.000 0.500 0.000
S 0.500 0.000 0.000
Cl 0.000 0.000 0.500



Entry 9:
DFT (PBE-GGA) results for a relaxed structure of CaSiS2Cl.

Summary:
Volume ... 103.9 Å³/cell
Mass density ... 2.680 g/cm3
Density of states at the Fermi level ... 1.00 states/eV/cell
Crystal system ... tetragonal
Final energy ... -0.1617 Ha/atom

Cell: 4.690 4.690 4.724 Å, 90.00 90.00 90.00°
Atoms (fractional coordinates):
Ca 0.000 0.000 0.000
Si 0.500 0.500 0.500
S 0.000 0.500 0.500
S 0.500 0.000 0.500
Cl 0.500 0.500 0.000



Entry 10:
DFT (PBE-GGA) results for a relaxed structure of CaSnSCl2.

Summary:
Volume ... 144.0 Å³/cell
Mass density ... 3.018 g/cm3
Density of states at the Fermi level ... 0.00 states/eV/cell
Crystal system ... tetragonal
Final energy ... -0.1408 Ha/atom

Cell: 5.089 5.089 5.560 Å, 90.00 90.00 90.00°
Atoms (fractional coordinates):
Ca 0.000 0.000 0.000
Sn 0.500 0.500 0.500
S 0.000 0.000 0.500
Cl 0.000 0.500 0.000
Cl 0.500 0.000 0.000



Entry 11:
DFT (PBE-GGA) results for a relaxed structure of CaSnS2Cl.

Summary:
Volume ... 141.0 Å³/cell
Mass density ... 3.043 g/cm3
Density of states at the Fermi level ... 4.72 states/eV/cell
Crystal system ... tetragonal
Final energy ... -0.1394 Ha/atom

Cell: 5.239 5.239 5.137 Å, 90.00 90.00 90.00°
Atoms (fractional coordinates):
Ca 0.000 0.000 0.000
Sn 0.500 0.500 0.500
S 0.000 0.500 0.000
S 0.500 0.000 0.000
Cl 0.000 0.000 0.500



Entry 12:
DFT (PBE-GGA) results for a relaxed structure of CaSnS2Cl.

Summary:
Volume ... 134.0 Å³/cell
Mass density ... 3.201 g/cm3
Density of states at the Fermi level ... 0.78 states/eV/cell
Crystal system ... tetragonal
Final energy ... -0.1484 Ha/atom

Cell: 5.117 5.117 5.117 Å, 90.00 90.00 90.00°
Atoms (fractional coordinates):
Ca 0.000 0.000 0.000
Sn 0.500 0.500 0.500
S 0.000 0.500 0.500
S 0.500 0.000 0.500
Cl 0.500 0.500 0.000